Sr4Te2PI PBE optimized geometry; M_tot = 0.00 Bohr magnetons per cell; formation energy without anion corrections = -1.52 eV/atom
1.0
-3.882 2.102 1.523
-4.383 -4.361 -5.151
-2.289 -6.906 3.697
Sr Te P I
4 2 1 1
Cartesian
-4.919 -8.224 -1.187 Sr
-5.635 -0.941 1.256 Sr
-5.785 -4.061 -1.980 Sr
-4.769 -5.104 2.049 Sr
-2.289 -6.906 3.697 Te
-3.086 -2.402 2.610 Te
-3.336 -5.634 -0.727 P
-4.132 -1.129 -1.814 I